No. 1
TlReRu2Au | Alexandria | SCAN | PBEsol geometry; ΔH_f (0 K) = 1.537 eV per atom; Fermi-level density of states = 3.6 states/eV per cell; symmetry = P4/mmm
1.0
4.595 0.000 0.000
0.000 4.595 0.000
0.000 0.000 5.156
Tl Re Ru Au
1 1 2 1
direct
0.000 0.000 0.000
0.000 0.000 0.500
0.000 0.500 0.500
0.500 0.000 0.500
0.500 0.500 0.000



No. 2
ReAuS2 | Alexandria | SCAN | PBEsol geometry; uncorrected formation energy = -0.056 eV/atom; Fermi-level density of states = 1.8 states/eV per cell; symmetry = R-3m
1.0
1.574 0.909 7.801
-1.574 0.909 7.801
0.000 -1.818 7.801
Re Au S
1 1 2
direct
0.000 0.000 0.000
0.500 0.500 0.500
0.400 0.400 0.400
0.600 0.600 0.600



No. 3
ReSb2Au | Alexandria | SCAN | PBEsol geometry; uncorrected formation energy = 0.604 eV/atom; ΔE to the lowest computed polymorph = 157 meV/atom; Fermi-level density of states = 5.7 states/eV per cell; symmetry = I-42d
1.0
-3.065 3.065 5.837
3.065 -3.065 5.837
3.065 3.065 -5.837
Re Sb Au
2 4 2
direct
0.000 0.000 0.000
0.750 0.250 0.500
0.106 0.625 0.981
0.375 0.356 0.481
0.644 0.125 0.019
0.875 0.894 0.519
0.250 0.750 0.500
0.500 0.500 0.000



No. 4
ReSb2Au | Alexandria | SCAN | PBEsol geometry; uncorrected formation energy = 0.447 eV/atom; ΔE to the lowest computed polymorph = 0 meV/atom; Fermi-level density of states = 1.9 states/eV per cell; symmetry = Imm2
1.0
-1.574 2.070 6.406
1.574 -2.070 6.406
1.574 2.070 -6.406
Re Sb Au
1 2 1
direct
0.000 0.000 0.000
0.171 0.671 0.500
0.445 0.445 0.000
0.790 0.290 0.500